Entry 1:
Sr2HPb: optimized geometry, PBE.

Results
final energy: -3.08 eV per atom
crystal system: orthorhombic
polymorph energy (0 for the lowest one): 0.000 eV per atom
space-group type: Pnma (62)

abc: 7.9798 4.0261 15.4865
angles: 90.00 90.00 90.00
Atoms (fractional coordinates):
Sr 0.0859 0.2500 0.2184
Sr 0.2184 0.2500 0.9710
Sr 0.2816 0.7500 0.4710
Sr 0.4141 0.7500 0.7184
Sr 0.5859 0.2500 0.2816
Sr 0.7184 0.2500 0.5290
Sr 0.7816 0.7500 0.0290
Sr 0.9141 0.7500 0.7816
H 0.0517 0.7500 0.9272
H 0.4483 0.2500 0.4272
H 0.5517 0.7500 0.5728
H 0.9483 0.2500 0.0728
Pb 0.1051 0.2500 0.6347
Pb 0.3949 0.7500 0.1347
Pb 0.6051 0.2500 0.8653
Pb 0.8949 0.7500 0.3653

Entry 2:
NdTaNi10: optimized geometry, PBE.

Results
final energy: -6.36 eV per atom
crystal system: orthorhombic
ΔH_f (0 K): -0.160 eV/atom
space-group type: Pmmm (47)

abc: 3.9754 4.7847 8.3331
angles: 90.00 90.00 90.00
Atoms (fractional coordinates):
Nd 0.0000 0.0000 0.0000
Ta 0.0000 0.5000 0.5000
Ni 0.0000 0.0000 0.3460
Ni 0.0000 0.0000 0.6540
Ni 0.0000 0.5000 0.1876
Ni 0.0000 0.5000 0.8124
Ni 0.5000 0.0000 0.5000
Ni 0.5000 0.2580 0.2640
Ni 0.5000 0.2580 0.7360
Ni 0.5000 0.5000 0.0000
Ni 0.5000 0.7420 0.2640
Ni 0.5000 0.7420 0.7360

Entry 3:
Ta2Tl: optimized geometry, PBE.

Results
final energy: -8.00 eV per atom
crystal system: tetragonal
ΔH_f (0 K): 0.695 eV/atom
space-group type: I4/mcm (140)

abc: 6.5969 6.5969 5.5839
angles: 90.00 90.00 90.00
Atoms (fractional coordinates):
Ta 0.1410 0.3590 0.0000
Ta 0.1410 0.6410 0.5000
Ta 0.3590 0.1410 0.5000
Ta 0.3590 0.8590 0.0000
Ta 0.6410 0.1410 0.0000
Ta 0.6410 0.8590 0.5000
Ta 0.8590 0.3590 0.5000
Ta 0.8590 0.6410 0.0000
Tl 0.0000 0.0000 0.2500
Tl 0.0000 0.0000 0.7500
Tl 0.5000 0.5000 0.2500
Tl 0.5000 0.5000 0.7500

Entry 4:
CaV2Co: optimized geometry, PBE.

Results
final energy: -5.96 eV per atom
crystal system: tetragonal
polymorph energy (0 for the lowest one): 0.073 eV per atom
ΔH_f (0 K): 0.874 eV/atom
space-group type: I4_1/amd (141)

abc: 4.4581 4.4581 16.5739
angles: 90.00 90.00 90.00
Atoms (fractional coordinates):
Ca 0.0000 0.2500 0.3750
Ca 0.0000 0.7500 0.6250
Ca 0.5000 0.2500 0.1250
Ca 0.5000 0.7500 0.8750
V 0.0000 0.0000 0.0000
V 0.0000 0.5000 0.0000
V 0.2500 0.2500 0.7500
V 0.2500 0.7500 0.2500
V 0.5000 0.0000 0.5000
V 0.5000 0.5000 0.5000
V 0.7500 0.2500 0.7500
V 0.7500 0.7500 0.2500
Co 0.0000 0.2500 0.8750
Co 0.0000 0.7500 0.1250
Co 0.5000 0.2500 0.6250
Co 0.5000 0.7500 0.3750

no.,M_tot (μB/f.u.)
1,0.00
2,1.90
3,0.00
4,0.00